(1)
DyThOsAu: relaxed, PBE.

Calculated values
- Raw total energy: -7.052 eV/atom
- Spin magnetization: 0.0 μB/f.u.
- Volume: 92 Å³ per cell
- Space group: F-43m, No. 216

Cell: 5.060 5.060 5.060 Å, 60.00 60.00 60.00°
Fractional coordinates of all 4 atoms:
Dy (0.000, 0.000, 0.000)
Th (0.500, 0.500, 0.500)
Os (0.750, 0.750, 0.750)
Au (0.250, 0.250, 0.250)

=====

(2)
DyTmOsAu: relaxed, PBE.

Calculated values
- Raw total energy: -6.407 eV/atom
- Spin magnetization: 0.0 μB/f.u.
- Volume: 84 Å³ per cell
- Space group: F-43m, No. 216

Cell: 4.910 4.910 4.910 Å, 60.00 60.00 60.00°
Fractional coordinates of all 4 atoms:
Dy (0.000, 0.000, 0.000)
Tm (0.500, 0.500, 0.500)
Os (0.750, 0.750, 0.750)
Au (0.250, 0.250, 0.250)

=====

(3)
DyYOsAu: relaxed, PBE.

Calculated values
- Raw total energy: -6.864 eV/atom
- Spin magnetization: 0.0 μB/f.u.
- Volume: 86 Å³ per cell
- Space group: F-43m, No. 216

Cell: 4.949 4.949 4.949 Å, 60.00 60.00 60.00°
Fractional coordinates of all 4 atoms:
Dy (0.000, 0.000, 0.000)
Y (0.500, 0.500, 0.500)
Os (0.750, 0.750, 0.750)
Au (0.250, 0.250, 0.250)

=====

(4)
DyZrOsAu: relaxed, PBE.

Calculated values
- Raw total energy: -7.319 eV/atom
- Spin magnetization: 0.0 μB/f.u.
- Volume: 81 Å³ per cell
- Space group: F-43m, No. 216

Cell: 4.848 4.848 4.848 Å, 60.00 60.00 60.00°
Fractional coordinates of all 4 atoms:
Dy (0.000, 0.000, 0.000)
Zr (0.500, 0.500, 0.500)
Os (0.750, 0.750, 0.750)
Au (0.250, 0.250, 0.250)

=====

Number 2 is which compound? DyTmOsAu

=====

spin magnetization of number 2 (DyTmOsAu)? 0.0 μB/f.u.

=====

Among the records above, which one has the highest raw total energy? DyTmOsAu

=====

What did the second record say?
DyTmOsAu: relaxed, PBE.

Calculated values
- Raw total energy: -6.407 eV/atom
- Spin magnetization: 0.0 μB/f.u.
- Volume: 84 Å³ per cell
- Space group: F-43m, No. 216

Cell: 4.910 4.910 4.910 Å, 60.00 60.00 60.00°
Fractional coordinates of all 4 atoms:
Dy (0.000, 0.000, 0.000)
Tm (0.500, 0.500, 0.500)
Os (0.750, 0.750, 0.750)
Au (0.250, 0.250, 0.250)